This record from the Alexandria database describes an optimized crystal structure of Rb2Tl17. The functional is PBE-GGA.

Geometry as POSCAR:
```
Rb2Tl17
1.0
5.7231 3.3042 5.7249
-5.7231 3.3042 5.7249
0.0000 -6.6085 5.7249
Rb Tl
2 17
direct
0.1628 0.1628 0.1628 Rb
0.8372 0.8372 0.8372 Rb
0.0000 0.5000 0.5000 Tl
0.1419 0.1419 0.6480 Tl
0.1419 0.6480 0.1419 Tl
0.2079 0.5000 0.7921 Tl
0.2079 0.7921 0.5000 Tl
0.3520 0.8581 0.8581 Tl
0.4019 0.4019 0.4019 Tl
0.5000 0.0000 0.5000 Tl
0.5000 0.2079 0.7921 Tl
0.5000 0.5000 0.0000 Tl
0.5000 0.7921 0.2079 Tl
0.5981 0.5981 0.5981 Tl
0.6480 0.1419 0.1419 Tl
0.7921 0.2079 0.5000 Tl
0.7921 0.5000 0.2079 Tl
0.8581 0.3520 0.8581 Tl
0.8581 0.8581 0.3520 Tl
```

Calculated values
Size of the total moment   0.00 μB per formula unit
Electronic total energy   -2.244 eV/atom
Symmetry   R-3m, No. 166
D(E_F)   0.426 states/eV per atom
DFT formation energy   -0.025 eV per atom


This record from the Alexandria database describes an optimized crystal structure of RbTl6. The functional is PBE-GGA.

Geometry as POSCAR:
```
RbTl6
1.0
-4.2980 4.2980 4.2980
4.2980 -4.2980 4.2980
4.2980 4.2980 -4.2980
Rb Tl
1 6
direct
0.0000 0.0000 0.0000 Rb
0.2500 0.5000 0.7500 Tl
0.2500 0.7500 0.5000 Tl
0.5000 0.2500 0.7500 Tl
0.5000 0.7500 0.2500 Tl
0.7500 0.2500 0.5000 Tl
0.7500 0.5000 0.2500 Tl
```

Calculated values
Size of the total moment   0.00 μB per formula unit
Offset from the most stable computed form   0.169 eV per atom
Electronic total energy   -2.040 eV/atom
Symmetry   Im-3m, No. 229
D(E_F)   0.647 states/eV per atom
DFT formation energy   0.126 eV per atom


This record from the Alexandria database describes an optimized crystal structure of RbTm4Tl5. The functional is PBE-GGA.

Geometry as POSCAR:
```
RbTm4Tl5
1.0
3.8037 0.0000 0.0000
0.0000 3.8037 0.0000
0.0000 0.0000 20.1402
Rb Tm Tl
1 4 5
direct
0.0000 0.0000 0.0000 Rb
0.0000 0.0000 0.2225 Tm
0.0000 0.0000 0.4074 Tm
0.0000 0.0000 0.5926 Tm
0.0000 0.0000 0.7775 Tm
0.5000 0.5000 0.1368 Tl
0.5000 0.5000 0.3161 Tl
0.5000 0.5000 0.5000 Tl
0.5000 0.5000 0.6839 Tl
0.5000 0.5000 0.8632 Tl
```

Calculated values
Size of the total moment   0.00 μB per formula unit
Electronic total energy   -3.308 eV/atom
Symmetry   P4/mmm, No. 123
D(E_F)   0.507 states/eV per atom
DFT formation energy   -0.240 eV per atom


This record from the Alexandria database describes an optimized crystal structure of Rb3TlV. The functional is PBE-GGA.

Geometry as POSCAR:
```
Rb3TlV
1.0
6.7918 0.0000 0.0000
0.0000 6.7918 0.0000
0.0000 0.0000 6.7918
Rb Tl V
3 1 1
direct
0.0000 0.0000 0.5000 Rb
0.0000 0.5000 0.0000 Rb
0.5000 0.0000 0.0000 Rb
0.5000 0.5000 0.5000 Tl
0.0000 0.0000 0.0000 V
```

Calculated values
Size of the total moment   5.49 μB per formula unit
Offset from the most stable computed form   0.000 eV per atom
Electronic total energy   -1.959 eV/atom
Symmetry   Pm-3m, No. 221
D(E_F)   1.492 states/eV per atom
DFT formation energy   0.918 eV per atom


This record from the Alexandria database describes an optimized crystal structure of RbTlV2. The functional is PBE-GGA.

Geometry as POSCAR:
```
RbTlV2
1.0
0.0000 3.6374 3.6374
3.6374 0.0000 3.6374
3.6374 3.6374 0.0000
Rb Tl V
1 1 2
direct
0.0000 0.0000 0.0000 Rb
0.5000 0.5000 0.5000 Tl
0.2500 0.2500 0.2500 V
0.7500 0.7500 0.7500 V
```

Calculated values
Size of the total moment   6.35 μB per formula unit
Offset from the most stable computed form   0.056 eV per atom
Electronic total energy   -4.066 eV/atom
Symmetry   Fm-3m, No. 225
D(E_F)   2.448 states/eV per atom
DFT formation energy   1.327 eV per atom


This record from the Alexandria database describes an optimized crystal structure of RbTlV2. The functional is PBE-GGA.

Geometry as POSCAR:
```
RbTlV2
1.0
-2.3400 2.3400 10.4968
2.3400 -2.3400 10.4968
2.3400 2.3400 -10.4968
Rb Tl V
2 2 4
direct
0.3750 0.6250 0.7500 Rb
0.6250 0.3750 0.2500 Rb
0.1250 0.8750 0.2500 Tl
0.8750 0.1250 0.7500 Tl
0.0000 0.0000 0.0000 V
0.0000 0.0000 0.5000 V
0.0000 0.5000 0.0000 V
0.5000 0.0000 0.5000 V
```

Calculated values
Size of the total moment   2.05 μB per formula unit
Offset from the most stable computed form   0.000 eV per atom
Electronic total energy   -4.122 eV/atom
Symmetry   I4_1/amd, No. 141
D(E_F)   1.136 states/eV per atom
DFT formation energy   1.271 eV per atom


This record from the Alexandria database describes an optimized crystal structure of Rb2TlV. The functional is PBE-GGA.

Geometry as POSCAR:
```
Rb2TlV
1.0
0.0000 4.4085 4.4085
4.4085 0.0000 4.4085
4.4085 4.4085 0.0000
Rb Tl V
2 1 1
direct
0.2500 0.2500 0.2500 Rb
0.7500 0.7500 0.7500 Rb
0.0000 0.0000 0.0000 Tl
0.5000 0.5000 0.5000 V
```

Calculated values
Size of the total moment   5.12 μB per formula unit
Offset from the most stable computed form   0.145 eV per atom
Electronic total energy   -2.446 eV/atom
Symmetry   Fm-3m, No. 225
D(E_F)   1.471 states/eV per atom
DFT formation energy   0.909 eV per atom


This record from the Alexandria database describes an optimized crystal structure of Rb2TlV. The functional is PBE-GGA.

Geometry as POSCAR:
```
Rb2TlV
1.0
-6.4534 6.4534 2.7330
6.4534 -6.4534 2.7330
6.4534 6.4534 -2.7330
Rb Tl V
4 2 2
direct
0.3750 0.0278 0.1528 Rb
0.7778 0.6250 0.6528 Rb
0.8750 0.2222 0.8472 Rb
0.9722 0.1250 0.3472 Rb
0.2500 0.7500 0.5000 Tl
0.5000 0.5000 0.0000 Tl
0.0000 0.0000 0.0000 V
0.7500 0.2500 0.5000 V
```

Calculated values
Size of the total moment   3.89 μB per formula unit
Offset from the most stable computed form   0.000 eV per atom
Electronic total energy   -2.590 eV/atom
Symmetry   I-42d, No. 122
D(E_F)   1.892 states/eV per atom
DFT formation energy   0.765 eV per atom


This record from the Alexandria database describes an optimized crystal structure of RbTl3V. The functional is PBE-GGA.

Geometry as POSCAR:
```
RbTl3V
1.0
5.4153 0.0000 0.0000
0.0000 5.4153 0.0000
0.0000 0.0000 5.4153
Rb Tl V
1 3 1
direct
0.0000 0.0000 0.0000 Rb
0.0000 0.5000 0.5000 Tl
0.5000 0.0000 0.5000 Tl
0.5000 0.5000 0.0000 Tl
0.5000 0.5000 0.5000 V
```

Calculated values
Size of the total moment   0.27 μB per formula unit
Electronic total energy   -3.183 eV/atom
Symmetry   Pm-3m, No. 221
D(E_F)   1.038 states/eV per atom
DFT formation energy   0.254 eV per atom


This record from the Alexandria database describes an optimized crystal structure of RbZrTlV2. The functional is PBE-GGA.

Geometry as POSCAR:
```
RbZrTlV2
1.0
4.9354 0.0000 0.0000
0.0000 4.9354 0.0000
0.0000 0.0000 6.2517
Rb Zr Tl V
1 1 1 2
direct
0.0000 0.0000 0.0000 Rb
0.0000 0.0000 0.5000 Zr
0.5000 0.5000 0.0000 Tl
0.0000 0.5000 0.5000 V
0.5000 0.0000 0.5000 V
```

Calculated values
Size of the total moment   4.13 μB per formula unit
Electronic total energy   -4.467 eV/atom
Symmetry   P4/mmm, No. 123
D(E_F)   1.298 states/eV per atom
DFT formation energy   1.557 eV per atom


This record from the Alexandria database describes an optimized crystal structure of RbYTl2. The functional is PBE-GGA.

Geometry as POSCAR:
```
RbYTl2
1.0
3.9094 0.0000 0.0000
0.0000 3.9094 0.0000
0.0000 0.0000 8.9502
Rb Y Tl
1 1 2
direct
0.0000 0.0000 0.0000 Rb
0.0000 0.0000 0.5000 Y
0.5000 0.5000 0.3023 Tl
0.5000 0.5000 0.6977 Tl
```

Calculated values
Size of the total moment   0.09 μB per formula unit
Offset from the most stable computed form   0.000 eV per atom
Electronic total energy   -3.231 eV/atom
Symmetry   P4/mmm, No. 123
D(E_F)   0.618 states/eV per atom
DFT formation energy   -0.190 eV per atom


This record from the Alexandria database describes an optimized crystal structure of RbY2Tl. The functional is PBE-GGA.

Geometry as POSCAR:
```
RbY2Tl
1.0
0.0000 3.9833 3.9833
3.9833 0.0000 3.9833
3.9833 3.9833 0.0000
Rb Y Tl
1 2 1
direct
0.0000 0.0000 0.0000 Rb
0.2500 0.2500 0.2500 Y
0.7500 0.7500 0.7500 Y
0.5000 0.5000 0.5000 Tl
```

Calculated values
Size of the total moment   1.73 μB per formula unit
Offset from the most stable computed form   0.000 eV per atom
Electronic total energy   -3.735 eV/atom
Symmetry   Fm-3m, No. 225
D(E_F)   1.107 states/eV per atom
DFT formation energy   0.330 eV per atom


This record from the Alexandria database describes an optimized crystal structure of RbY2Tl. The functional is PBE-GGA.

Geometry as POSCAR:
```
RbY2Tl
1.0
-3.2289 3.2289 10.3872
3.2289 -3.2289 10.3872
3.2289 3.2289 -10.3872
Rb Y Tl
2 4 2
direct
0.3750 0.6250 0.7500 Rb
0.6250 0.3750 0.2500 Rb
0.0000 0.0000 0.0000 Y
0.0000 0.0000 0.5000 Y
0.0000 0.5000 0.0000 Y
0.5000 0.0000 0.5000 Y
0.1250 0.8750 0.2500 Tl
0.8750 0.1250 0.7500 Tl
```

Calculated values
Size of the total moment   0.00 μB per formula unit
Offset from the most stable computed form   0.309 eV per atom
Electronic total energy   -3.426 eV/atom
Symmetry   I4_1/amd, No. 141
D(E_F)   1.052 states/eV per atom
DFT formation energy   0.640 eV per atom